No. 1
VASP calculation (PBE-GGA) on crystalline DyPuSn at its relaxed geometry.

Cell: 3.2202 3.2202 17.8897 Å, 90.00 90.00 90.00°
With the nearest neighbours (Å) after each atom.
Space group I4mm (No. 107)
Inequivalent atoms, fractional coordinates:
Dy (0.0000, 0.0000, 0.0000) [2 per cell]  1 Sn 3.13, 4 Dy 3.22, 4 Pu 3.49
Pu (0.0000, 0.0000, 0.6480) [2 per cell]  1 Sn 3.17, 4 Pu 3.22, 4 Dy 3.49
Sn (0.0000, 0.0000, 0.8252) [2 per cell]  1 Dy 3.13, 1 Pu 3.17, 4 Sn 3.22

Results
DFT formation energy, eV per atom: 0.263


No. 2
VASP calculation (PBE-GGA) on crystalline LiGa2Cu6 at its relaxed geometry.

Cell: 8.0238 3.8229 7.6941 Å, 90.00 105.26 90.00°
With the nearest neighbours (Å) after each atom.
Space group C2/m (No. 12)
Inequivalent atoms, fractional coordinates:
Li (0.0000, 0.0000, 0.0000) [2 per cell]  8 Cu 2.57-2.64, 4 Ga 2.71
Ga (0.1748, 0.5000, 0.2248) [4 per cell]  10 Cu 2.56-2.65, 2 Li 2.71
Cu (0.0055, 0.0000, 0.3364) [4 per cell]  8 Cu 2.54-2.68, 3 Ga 2.56-2.62, 1 Li 2.58
Cu (0.1597, 0.5000, 0.8883) [4 per cell]  4 Ga 2.56-2.60, 5 Cu 2.57-2.72, 3 Li 2.57-2.64
Cu (0.1648, 0.5000, 0.5563) [4 per cell]  9 Cu 2.56-2.65, 3 Ga 2.57-2.65

Results
DFT formation energy, eV per atom: -0.131


No. 3
VASP calculation (PBE-GGA) on crystalline RbCuSbS2 at its relaxed geometry.

Cell: 7.6628 4.3349 8.3863 Å, 90.00 98.20 90.00°
With the nearest neighbours (Å) after each atom.
Space group P2/c (No. 13)
Inequivalent atoms, fractional coordinates:
Rb (0.0000, 0.1679, 0.2500) [2 per cell]  6 S 3.38-3.42
Cu (0.5000, 0.0000, 0.0000) [2 per cell]  2 S 2.21
Sb (0.5000, 0.4639, 0.7500) [2 per cell]  4 S 2.79-2.83, 2 Cu 2.91
S (0.2752, 0.3260, 0.9736) [4 per cell]  1 Cu 2.21

Results
Formation energy from raw total energies, eV per atom: -0.411